Entry 1:
Density functional theory data (PBE) for a relaxed structure of NpAu3Br9.

Unit cell a=18.0962 b=11.0609 c=14.0534 alpha=90.00 beta=122.32 gamma=90.00
With the nearest neighbours (Å) after each atom.
Space group Cc (No. 9)
One atom of each set of equivalent atoms:
1 Np 0.0000 0.0224 0.0000 (multiplicity 4)  6 Br 2.64-2.84
2 Au 0.1218 0.2683 0.8748 (multiplicity 4)  2 Br 2.45-2.47
3 Au 0.3746 0.1466 0.0014 (multiplicity 4)  3 Br 2.52-2.60, 1 Au 2.79
4 Au 0.4669 0.0389 0.6537 (multiplicity 4)  2 Br 2.39-2.46
5 Br 0.9997 0.2485 0.9052 (multiplicity 4)  1 Au 2.47
6 Br 0.0845 0.1246 0.2015 (multiplicity 4)  1 Np 2.65
7 Br 0.0946 0.4707 0.3397 (multiplicity 4)  1 Au 2.39
8 Br 0.1510 0.0540 0.5345 (multiplicity 4)  1 Np 2.64
9 Br 0.2434 0.2708 0.8452 (multiplicity 4)  2 Au 2.45-2.60
10 Br 0.3330 0.0740 0.4689 (multiplicity 4)  2 Au 2.46-2.52
11 Br 0.3490 0.4034 0.4666 (multiplicity 4)  1 Np 2.64
12 Br 0.4171 0.4157 0.8009 (multiplicity 4)  1 Np 2.64
13 Br 0.4868 0.3130 0.1065 (multiplicity 4)  1 Au 2.55, 1 Np 2.84

Computed properties:
- density of states at the Fermi level (states/eV/cell) = 40.10
- V (Å³/cell) = 2377


Entry 2:
Density functional theory data (PBE) for a relaxed structure of AuBr3O.

Unit cell a=5.2200 b=5.2200 c=5.2200 alpha=90.00 beta=90.00 gamma=90.00
With the nearest neighbours (Å) after each atom.
Space group Pm-3m (No. 221)
One atom of each set of equivalent atoms:
1 Au 0.0000 0.0000 0.0000 (multiplicity 1)  6 Br 2.61
2 Br 0.0000 0.0000 0.5000 (multiplicity 3)  2 Au 2.61
3 O 0.5000 0.5000 0.5000 (multiplicity 1)  12 Br 3.69

Computed properties:
- density of states at the Fermi level (states/eV/cell) = 26.07
- offset from the most stable computed form (kJ/mol of atoms) = 96.7
- V (Å³/cell) = 142


Entry 3:
Density functional theory data (PBE) for a relaxed structure of AuBr3O.

Unit cell a=4.7761 b=4.7761 c=4.7761 alpha=90.00 beta=90.00 gamma=90.00
With the nearest neighbours (Å) after each atom.
Space group Pm-3m (No. 221)
One atom of each set of equivalent atoms:
1 Au 0.0000 0.0000 0.0000 (multiplicity 1)  12 Br 3.38
2 Br 0.0000 0.5000 0.5000 (multiplicity 3)  2 O 2.39
3 O 0.5000 0.5000 0.5000 (multiplicity 1)  6 Br 2.39

Computed properties:
- density of states at the Fermi level (states/eV/cell) = 2.96
- offset from the most stable computed form (kJ/mol of atoms) = 77.7
- V (Å³/cell) = 109


Entry 4:
Density functional theory data (PBE) for a relaxed structure of AuBr3O.

Unit cell a=6.7844 b=7.1834 c=8.5011 alpha=71.39 beta=89.76 gamma=74.39
With the nearest neighbours (Å) after each atom.
Space group P-1 (No. 2)
One atom of each set of equivalent atoms:
1 Au 0.2370 0.4068 0.1409 (multiplicity 2)  4 Br 2.44-2.54
2 Br 0.1144 0.3493 0.8826 (multiplicity 2)  2 Au 2.52-2.54
3 Br 0.3387 0.4703 0.3905 (multiplicity 2)  1 Au 2.45
4 Br 0.4280 0.8355 0.8425 (multiplicity 2)  1 Au 2.44
5 O 0.0179 0.0011 0.4287 (multiplicity 2)  1 O 1.23

Computed properties:
- offset from the most stable computed form (kJ/mol of atoms) = 0.0
- V (Å³/cell) = 377


Entry 5:
Density functional theory data (PBE) for a relaxed structure of OsAuBr2O.

Unit cell a=5.4879 b=5.4879 c=3.8275 alpha=90.00 beta=90.00 gamma=90.00
With the nearest neighbours (Å) after each atom.
Space group P4/mmm (No. 123)
One atom of each set of equivalent atoms:
1 Os 0.0000 0.0000 0.0000 (multiplicity 1)  8 Br 3.35
2 Au 0.5000 0.5000 0.0000 (multiplicity 1)  2 O 1.91
3 Br 0.0000 0.5000 0.5000 (multiplicity 2)  2 O 2.74
4 O 0.5000 0.5000 0.5000 (multiplicity 1)  2 Au 1.91

Computed properties:
- density of states at the Fermi level (states/eV/cell) = 4.77
- V (Å³/cell) = 115


Entry 6:
Density functional theory data (PBE) for a relaxed structure of PAuBrO2.

Unit cell a=3.9715 b=3.9715 c=5.4242 alpha=90.00 beta=90.00 gamma=90.00
With the nearest neighbours (Å) after each atom.
Space group P4/mmm (No. 123)
One atom of each set of equivalent atoms:
1 P 0.0000 0.0000 0.0000 (multiplicity 1)  2 Au 2.71, 4 Br 2.81
2 Au 0.0000 0.0000 0.5000 (multiplicity 1)  4 O 1.99
3 Br 0.5000 0.5000 0.0000 (multiplicity 1)  4 P 2.81
4 O 0.0000 0.5000 0.5000 (multiplicity 2)  2 Au 1.99

Computed properties:
- density of states at the Fermi level (states/eV/cell) = 4.76
- offset from the most stable computed form (kJ/mol of atoms) = 0.0
- V (Å³/cell) = 86


Entry 7:
Density functional theory data (PBE) for a relaxed structure of PAuBrO2.

Unit cell a=3.7588 b=3.7588 c=5.5630 alpha=90.00 beta=90.00 gamma=90.00
With the nearest neighbours (Å) after each atom.
Space group P4/mmm (No. 123)
One atom of each set of equivalent atoms:
1 P 0.0000 0.0000 0.0000 (multiplicity 1)  4 Au 2.66, 2 Br 2.78
2 Au 0.5000 0.5000 0.0000 (multiplicity 1)  4 P 2.66
3 Br 0.0000 0.0000 0.5000 (multiplicity 1)  4 O 1.88
4 O 0.0000 0.5000 0.5000 (multiplicity 2)  2 Br 1.88

Computed properties:
- density of states at the Fermi level (states/eV/cell) = 1.99
- offset from the most stable computed form (kJ/mol of atoms) = 6.8
- V (Å³/cell) = 79


Entry 8:
Density functional theory data (PBE) for a relaxed structure of PbAuBrO2.

Unit cell a=5.6979 b=12.9255 c=5.8915 alpha=90.00 beta=90.00 gamma=90.00
With the nearest neighbours (Å) after each atom.
Space group Cmcm (No. 63)
One atom of each set of equivalent atoms:
1 Pb 0.0000 0.1274 0.2500 (multiplicity 4)  4 O 2.64
2 Au 0.0000 0.4855 0.2500 (multiplicity 4)  4 O 2.04
3 Br 0.0000 0.2423 0.7500 (multiplicity 4)  4 Pb 3.30-3.31, 1 Au 3.52
4 O 0.2461 0.5000 0.0000 (multiplicity 8)  2 Au 2.04

Computed properties:
- V (Å³/cell) = 434


Entry 9:
Density functional theory data (PBE) for a relaxed structure of Pb2AuBr2O2.

Unit cell a=12.0938 b=3.9757 c=8.0550 alpha=90.00 beta=120.92 gamma=90.00
With the nearest neighbours (Å) after each atom.
Space group C2/m (No. 12)
One atom of each set of equivalent atoms:
1 Pb 0.1925 0.0000 0.2712 (multiplicity 4)  3 O 2.37-2.42
2 Au 0.0000 0.0000 0.5000 (multiplicity 2)  2 O 2.07
3 Br 0.0627 0.5000 0.8228 (multiplicity 4)  2 Au 3.04
4 O 0.1887 0.0000 0.5622 (multiplicity 4)  1 Au 2.07

Computed properties:
- density of states at the Fermi level (states/eV/cell) = 8.90
- V (Å³/cell) = 332


Entry 10:
Density functional theory data (PBE) for a relaxed structure of Rb8Au3BrO2.

Unit cell a=8.5195 b=8.5195 c=10.2766 alpha=90.00 beta=90.00 gamma=120.00
With the nearest neighbours (Å) after each atom.
Space group P-3m1 (No. 164)
One atom of each set of equivalent atoms:
1 Rb 0.1778 0.3557 0.2939 (multiplicity 6)  1 O 2.58
2 Rb 0.3333 0.6667 0.9369 (multiplicity 2)  1 O 2.48
3 Au 0.0000 0.0000 0.0000 (multiplicity 1)  6 Rb 4.00
4 Au 0.3333 0.6667 0.6011 (multiplicity 2)  1 Rb 3.45
5 Br 0.0000 0.0000 0.5000 (multiplicity 1)  6 Rb 3.37
6 O 0.3333 0.6667 0.1781 (multiplicity 2)  4 Rb 2.48-2.58

Computed properties:
- V (Å³/cell) = 646


Per-record raw formation energy, eV/atom: -0.5034, 0.9127, 0.7159, -0.0899, 1.4812, 0.6478, 0.7179, -0.5397, -0.7135, -0.7018
Per-record total magnetic moment, μB/atom: 0.147, 0.000, 0.000, 0.187, 1.019, 0.202, 0.000, 0.000, 0.000, 0.019